# TlAuSe | Alexandria | GGA-PBEsol | relaxed
data_TlAuSe
_chemical_formula_sum 'Tl4 Au4 Se4'
_cell_length_a 6.629
_cell_length_b 6.629
_cell_length_c 6.629
_cell_angle_alpha 90.00
_cell_angle_beta 90.00
_cell_angle_gamma 90.00
_symmetry_space_group_name_H-M 'F -4 3 m'
_symmetry_Int_Tables_number 216
_symmetry_space_group_name_Hall 'F -4 2 3'
loop_
_atom_site_label
_atom_site_fract_x
_atom_site_fract_y
_atom_site_fract_z
Tl1 0.000 0.000 0.000
Au1 0.250 0.250 0.250
Se1 0.000 0.000 0.500
# - crystal system = cubic
# - size of the total moment (μB/atom) = 0.000
# - energy relative to the elements, uncorrected (eV per atom) = -0.0031